The following is a PBE calculation of a relaxed structure of ErTiAlZn, from the Alexandria database.

Values from the calculation:
Crystal system: cubic
Energy of formation, eV/f.u.: -0.91

Lattice parameters (Å, degrees): 4.7538 4.7538 4.7538 60.00 60.00 60.00
Positions (direct):
Er  0.0000  0.0000  0.0000
Ti  0.5000  0.5000  0.5000
Al  0.2500  0.2500  0.2500
Zn  0.7500  0.7500  0.7500